First-principles (PBE) data for a relaxed structure of VTcNiIr, as listed in Alexandria via LeMat-Bulk.

## Properties
Energy above the lowest structure with this stoichiometry in meV/atom: 0
ΔH_f (0 K) in eV/f.u.: -1.1
Theoretical density in kg/m3: 12541
Size of the total moment in μB per cell: 0.000
Space-group type: Pmmm, No. 47

abc: 3.623 3.778 3.867
angles: 90.00 90.00 90.00
Positions (direct):
1 V 0.000 0.000 0.000
2 Tc 0.500 0.500 0.000
3 Ni 0.000 0.500 0.500
4 Ir 0.500 0.000 0.500

=====

First-principles (PBE) data for a relaxed structure of BaCuSb2, as listed in Alexandria via LeMat-Bulk.

## Properties
Theoretical density in kg/m3: 6415
Size of the total moment in μB per cell: 0.000
ΔE_f (raw) in kJ/mol of formula units: 11
Space-group type: Fm-3m, No. 225

abc: 5.459 5.459 5.459
angles: 60.00 60.00 60.00
Positions (direct):
1 Ba 0.000 0.000 0.000
2 Cu 0.500 0.500 0.500
3 Sb 0.250 0.250 0.250
4 Sb 0.750 0.750 0.750